Here is a geometry-optimized Hf2Os2Se structure from Alexandria. Energies are from PBE-GGA.

Unit cell a=7.854 b=7.854 c=3.074 alpha=90.00 beta=90.00 gamma=90.00
Atoms (fractional coordinates):
Hf  0.160  0.340  0.000
Hf  0.340  0.840  0.000
Hf  0.660  0.160  0.000
Hf  0.840  0.660  0.000
Os  0.130  0.630  0.500
Os  0.370  0.130  0.500
Os  0.630  0.870  0.500
Os  0.870  0.370  0.500
Se  0.000  0.000  0.000
Se  0.500  0.500  0.000

Values from the calculation:
The calculation puts the mass density at 14.30 g/cm³. Its relative energy among the computed polymorphs is 162 meV/atom. The volume is 95 Å³/f.u. The formation energy (no corrections) is 0.023 eV/atom. The crystal system is tetragonal.